# 1
Entry from Alexandria via LeMat-Bulk: crystalline YTaRe4 at its relaxed geometry (GGA-PBE).

Values from the calculation:
Energy of formation = -1.617 kcal/mol of atoms
Magnetization = 0.000 μB per atom
Volume = 17.63 Å³/atom

Unit cell a=7.508 b=7.508 c=7.508 alpha=90.00 beta=90.00 gamma=90.00
Space group F-43m (No. 216)
Unique sites:
Y: 0.000 0.000 0.000 x4
Ta: 0.250 0.250 0.250 x4
Re: 0.125 0.125 0.625 x16

***

# 2
Entry from Alexandria via LeMat-Bulk: crystalline YTa2Re at its relaxed geometry (GGA-PBE).

Values from the calculation:
Energy of formation = 5.016 kcal/mol of atoms
Magnetization = 0.000 μB per atom
Volume = 19.36 Å³/atom

Unit cell a=3.282 b=4.861 c=9.707 alpha=90.00 beta=90.00 gamma=90.00
Space group Imm2 (No. 44)
Unique sites:
Y: 0.000 0.000 0.000 x2
Ta: 0.000 0.000 0.464 x2
Ta: 0.000 0.500 0.229 x2
Re: 0.000 0.500 0.751 x2

***

# 3
Entry from Alexandria via LeMat-Bulk: crystalline YTa2Re2 at its relaxed geometry (GGA-PBE).

Values from the calculation:
Energy of formation = 0.405 kcal/mol of atoms
Magnetization = 0.000 μB per atom
Volume = 20.89 Å³/atom

Unit cell a=4.326 b=4.326 c=11.159 alpha=90.00 beta=90.00 gamma=90.00
Space group I4/mmm (No. 139)
Unique sites:
Y: 0.000 0.000 0.000 x2
Ta: 0.000 0.500 0.250 x4
Re: 0.000 0.000 0.385 x4

***

# 4
Entry from Alexandria via LeMat-Bulk: crystalline YTa2Re at its relaxed geometry (GGA-PBE).

Values from the calculation:
Energy of formation = 2.136 kcal/mol of atoms
Magnetization = 0.000 μB per atom
Volume = 19.95 Å³/atom

Unit cell a=3.225 b=3.225 c=7.673 alpha=90.00 beta=90.00 gamma=90.00
Space group P4/mmm (No. 123)
Unique sites:
Y: 0.000 0.000 0.000 x1
Ta: 0.500 0.500 0.301 x2
Re: 0.000 0.000 0.500 x1

***

# 5
Entry from Alexandria via LeMat-Bulk: crystalline YTa4Re at its relaxed geometry (GGA-PBE).

Values from the calculation:
Energy of formation = 7.361 kcal/mol of atoms
Magnetization = 0.000 μB per atom
Volume = 19.61 Å³/atom

Unit cell a=7.779 b=7.779 c=7.779 alpha=90.00 beta=90.00 gamma=90.00
Space group F-43m (No. 216)
Unique sites:
Y: 0.000 0.000 0.000 x4
Ta: 0.125 0.125 0.375 x16
Re: 0.250 0.250 0.750 x4

***

# 6
Entry from Alexandria via LeMat-Bulk: crystalline YTa2Re at its relaxed geometry (GGA-PBE).

Values from the calculation:
Energy of formation = 5.140 kcal/mol of atoms
Magnetization = 0.000 μB per atom
Volume = 19.51 Å³/atom

Unit cell a=3.281 b=4.879 c=9.746 alpha=90.00 beta=90.00 gamma=90.00
Space group Cmmm (No. 65)
Unique sites:
Y: 0.000 0.000 0.000 x2
Ta: 0.000 0.500 0.285 x4
Re: 0.000 0.000 0.500 x2

***

energy of formation of number 3 (YTa2Re2)? 0.405 kcal/mol of atoms